PmPr2Y6Er3: optimized geometry, GGA-PBE.

ΔH_f (0 K): 0.021 eV per atom

Lattice parameters (Å, degrees): 6.217 6.217 11.855 95.01 95.01 119.96
Positions (direct):
Pm 0.000 0.000 0.000
Pr 0.333 0.667 0.000
Pr 0.667 0.333 0.000
Y 0.915 0.582 0.745
Y 0.752 0.752 0.255
Y 0.085 0.418 0.255
Y 0.582 0.915 0.745
Y 0.248 0.248 0.745
Y 0.418 0.085 0.255
Er 0.167 0.833 0.500
Er 0.833 0.167 0.500
Er 0.500 0.500 0.500